<w>
! GGA+U Sr4LiMn2Ga2O10, optimized geometry; values from VASP
&SYSTEM
  ibrav = 0, nat = 19, ntyp = 5
/
ATOMIC_SPECIES
O 16.00 O.upf
Sr 87.62 Sr.upf
Ga 69.72 Ga.upf
Mn 54.94 Mn.upf
Li 6.94 Li.upf
CELL_PARAMETERS angstrom
8.2294 4.0157 0.0469
-8.2294 4.0157 0.0469
0.0000 4.0019 4.1065
ATOMIC_POSITIONS crystal
O 0.1981 0.1981 0.6638
O 0.8475 0.6494 0.9576
O 0.8019 0.8019 0.3362
O 0.1525 0.3506 0.0424
O 0.6494 0.8475 0.9576
O 0.7543 0.2457 0.0000
O 0.2457 0.7543 0.0000
O 0.3506 0.1525 0.0424
O 0.7442 0.2558 0.5000
O 0.2558 0.7442 0.5000
Sr 0.5963 0.8897 0.5301
Sr 0.4037 0.1103 0.4699
Sr 0.1103 0.4037 0.4699
Sr 0.8897 0.5963 0.5301
Ga 0.8672 0.8672 0.9227
Ga 0.1328 0.1328 0.0773
Mn 0.5000 0.0000 0.0000
Mn 0.0000 0.5000 0.0000
Li 0.5000 0.5000 0.5000
! Space group ... C2/m, No. 12
! Size of the total moment ... 9.000 Bohr magnetons per cell
! Crystal system ... monoclinic
! Density ... 4.75 Mg/m³


<x>
! GGA+U Sr4LiMn2Ga2O10, optimized geometry; values from VASP
&SYSTEM
  ibrav = 0, nat = 19, ntyp = 5
/
ATOMIC_SPECIES
O 16.00 O.upf
Mn 54.94 Mn.upf
Sr 87.62 Sr.upf
Ga 69.72 Ga.upf
Li 6.94 Li.upf
CELL_PARAMETERS angstrom
5.8535 0.0428 -0.0134
-0.0159 5.2415 1.8117
-2.9125 -0.0785 8.6612
ATOMIC_POSITIONS crystal
O 0.6623 0.6602 0.5095
O 0.2395 0.2529 0.0152
O 0.4029 0.1616 0.5081
O 0.2945 0.6504 0.6983
O 0.6879 0.3630 0.2832
O 0.0909 0.8586 0.3293
O 0.2432 0.7600 0.0293
O 0.9336 0.0928 0.6554
O 0.7524 0.2678 0.9916
O 0.7473 0.7853 0.9941
Mn 0.0023 0.0104 0.0202
Mn 0.4995 0.5133 0.0128
Sr 0.0872 0.4036 0.2346
Sr 0.9162 0.6192 0.8179
Sr 0.6127 0.9169 0.2032
Sr 0.3629 0.1370 0.7814
Ga 0.3703 0.8128 0.5117
Ga 0.6873 0.3160 0.4921
Li 0.9667 0.8634 0.5263
! Space group ... P1, No. 1
! Size of the total moment ... 9.000 Bohr magnetons per cell
! Crystal system ... triclinic
! Density ... 4.78 Mg/m³


<x> ends up most stable, edging out the next structure by 4.6 kJ/mol of atoms.